Material: Ca2ZrPt
Method: DFT, PBE-GGA
State: optimized geometry

a = 5.734 Å, b = 5.734 Å, c = 3.263 Å
α = 90.67°, β = 90.67°, γ = 116.62°
Fractional coordinates of all 4 atoms:
1 Ca 0.000 0.500 0.000
2 Ca 0.500 0.000 0.000
3 Zr 0.000 0.000 0.500
4 Pt 0.500 0.500 0.500

Output
Final energy = -4.622 eV/atom
M_tot = 0.00 μB/f.u.
ΔE to the lowest computed polymorph = 451.5 meV per atom
ΔE_f = 26 meV per atom